Computed, not measured: crystalline AlNiPb3 at its relaxed geometry at the GGA-PBE level of DFT.

a = 5.167 Å, b = 5.167 Å, c = 5.167 Å
α = 90.00°, β = 90.00°, γ = 90.00°
Positions (direct):
Ni 0.000 0.000 0.000
Pb 0.000 0.000 0.500
Pb 0.000 0.500 0.000
Pb 0.500 0.000 0.000
Al 0.500 0.500 0.500

Output
electronic total energy	-3.811	eV/atom
space group	No. 221
formation energy from the elements	1.6	eV/f.u.